No. 1
Below is Sm6Co2Cu after structural relaxation, with properties calculated at the PBE level.

Lattice parameters (Å, degrees): 8.398 8.398 8.398 107.57 109.35 111.52
Fractional positions:
Cu  0.000  0.500  0.500
Cu  0.000  0.000  0.000
Co  0.500  0.386  0.886
Co  0.666  0.000  0.666
Co  0.334  0.000  0.334
Co  0.500  0.614  0.114
Sm  0.810  0.763  0.573
Sm  0.901  0.723  0.178
Sm  0.685  0.360  0.675
Sm  0.545  0.723  0.822
Sm  0.455  0.277  0.178
Sm  0.685  0.011  0.325
Sm  0.810  0.237  0.046
Sm  0.315  0.989  0.675
Sm  0.315  0.640  0.325
Sm  0.190  0.237  0.427
Sm  0.190  0.763  0.954
Sm  0.099  0.277  0.822

Output
SG ... Immm (71)
Magnetization ... 0.00 μB/f.u.
ΔH_f (0 K) ... -106 meV/atom


No. 2
Below is SmCoCu after structural relaxation, with properties calculated at the PBE level.

Lattice parameters (Å, degrees): 5.460 5.460 5.426 83.16 126.10 122.20
Fractional positions:
Co  0.251  0.999  0.250
Co  0.749  0.001  0.750
Cu  0.000  0.000  0.500
Cu  0.500  0.500  0.500
Sm  0.749  0.370  0.119
Sm  0.251  0.630  0.881

Output
Polymorph energy (0 for the lowest one) ... 49 kJ/mol of formula units
SG ... C2/m (12)
Magnetization ... 1.01 μB/f.u.
ΔH_f (0 K) ... 103 meV/atom